Entry 1:
AcAg4Au6, optimized geometry, DFT PBE; size of the total moment = 0.00 μB per cell; raw total energy = -3.2538 eV per atom; calculated formation energy = -0.61 eV per formula unit
1.0
7.158 -0.297 -0.437
-3.573 6.210 0.437
-3.573 -1.877 5.935
Au Ag Ac
6 4 1
Cartesian
-0.706 2.309 3.396
-4.772 4.775 2.976
1.793 2.956 0.000
3.116 0.273 0.401
-4.772 1.012 5.535
1.793 -1.087 2.749
-2.868 2.982 1.712
-3.175 3.169 4.660
-2.868 0.496 3.403
1.778 1.722 2.532
0.000 0.000 0.000

Entry 2:
ZrIn2SnPt, optimized geometry, DFT PBE; size of the total moment = 0.00 μB per cell; raw total energy = -4.8306 eV per atom; calculated formation energy = -0.08 eV per formula unit
1.0
-4.368 -1.742 1.907
-1.674 -1.152 -4.887
2.024 -4.637 0.399
In Sn Pt Zr
2 1 1 1
Cartesian
1.012 -2.318 0.200
-2.184 -0.871 0.954
-2.010 -3.766 -1.290
0.000 0.000 0.000
-0.837 -0.576 -2.444

Entry 3:
MoOs3Pt, optimized geometry, DFT PBE; size of the total moment = 2.42 μB per cell; raw total energy = -7.7588 eV per atom; polymorph energy (0 for the lowest one) = 0 meV/atom; calculated formation energy = 11.77 eV per formula unit
1.0
-4.232 1.887 0.299
-1.279 -2.258 -3.851
-1.419 -3.593 2.577
Mo Pt Os
1 1 3
Cartesian
0.000 0.000 0.000
-3.465 -1.982 -0.487
-0.709 -1.796 1.289
-0.639 -1.129 -1.925
-2.116 0.943 0.150

Entry 4:
Pm2Sm3PuTe6, optimized geometry, DFT PBE; raw formation energy = -16.3 eV per formula unit; size of the total moment = 6.06 μB per cell; raw total energy = -6.0937 eV per atom
1.0
4.430 0.000 0.000
0.000 8.927 0.319
-2.215 -2.572 9.350
Te Sm Pm Pu
6 3 2 1
Cartesian
2.215 4.358 3.304
0.000 1.997 6.364
2.215 -0.351 9.403
0.000 6.706 0.265
2.215 -0.126 3.123
0.000 6.480 6.545
0.000 6.590 3.409
2.215 4.464 0.159
2.215 -0.235 6.259
0.000 2.105 3.201
2.215 4.250 6.467
2.215 0.000 0.000

size of the total moment of number 1 (AcAg4Au6)? 0.00 μB per cell